Run 1
The following is a GGA-PBE calculation of a relaxed structure of Pr3Sm2Tm2, from Alexandria.

The structure in POSCAR format:
```
Pr3Sm2Tm2
1.0
-0.542 3.168 -1.698
-10.050 0.457 4.070
1.221 4.520 4.175
Pr Sm Tm
3 2 2
Direct
0.000 0.000 0.000
0.858 0.429 0.283
0.142 0.571 0.717
0.716 0.857 0.567
0.284 0.143 0.433
0.572 0.285 0.857
0.428 0.715 0.143
```

Computed properties:
calculated volume: 33.66 Å³/atom
DOS at the Fermi energy: 1.368 states/eV/atom

=====

Run 2
The following is a GGA-PBE calculation of a relaxed structure of Pr3Sm2Tm2, from Alexandria.

The structure in POSCAR format:
```
Pr3Sm2Tm2
1.0
-3.241 0.150 -1.425
-3.441 -2.192 7.594
2.815 8.547 -1.096
Pr Sm Tm
3 2 2
Direct
0.000 0.500 0.000
0.214 0.794 0.428
0.786 0.206 0.572
0.565 0.912 0.129
0.435 0.088 0.871
0.855 0.672 0.710
0.145 0.328 0.290
```

Computed properties:
calculated volume: 34.05 Å³/atom
DOS at the Fermi energy: 1.562 states/eV/atom

=====

run 1 is favored, and the nearest alternative lies 0.100 eV/atom above it.

=====

Run 1
The following is a GGA-PBE calculation of a relaxed structure of Pr2Sm2Tm3, from Alexandria.

The structure in POSCAR format:
```
Pr2Sm2Tm3
1.0
5.742 0.000 1.614
2.598 4.654 1.780
0.698 -1.194 8.541
Pr Sm Tm
2 2 3
Direct
0.214 0.711 0.860
0.786 0.289 0.140
0.069 0.569 0.293
0.931 0.431 0.707
0.500 0.000 0.000
0.358 0.854 0.430
0.642 0.146 0.570
```

Computed properties:
calculated volume: 32.89 Å³/atom
DOS at the Fermi energy: 1.923 states/eV/atom

=====

Run 2
The following is a GGA-PBE calculation of a relaxed structure of Pr2Sm2Tm3, from Alexandria.

The structure in POSCAR format:
```
Pr2Sm2Tm3
1.0
5.648 0.000 -0.085
0.000 3.425 0.000
-2.639 0.000 12.042
Pr Sm Tm
2 2 3
Direct
0.141 0.000 0.281
0.859 0.000 0.719
0.424 0.500 0.850
0.576 0.500 0.150
0.290 0.000 0.579
0.000 0.000 0.000
0.710 0.000 0.421
```

Computed properties:
calculated volume: 33.17 Å³/atom
DOS at the Fermi energy: 1.767 states/eV/atom

=====

run 1 is favored, and the nearest alternative lies 0.068 eV/atom above it.

=====

Run 1
The following is a GGA-PBE calculation of a relaxed structure of Pr7Sm12Tm, from Alexandria.

The structure in POSCAR format:
```
Pr7Sm12Tm
1.0
-2.921 -0.842 -8.382
-4.096 -7.738 1.688
-7.786 3.954 1.800
Pr Sm Tm
7 12 1
Direct
0.848 0.603 0.921
0.397 0.079 0.152
0.079 0.152 0.397
0.500 0.500 0.500
0.921 0.848 0.603
0.603 0.921 0.848
0.152 0.397 0.079
0.855 0.251 0.728
0.749 0.272 0.145
0.616 0.135 0.495
0.865 0.505 0.384
0.272 0.145 0.749
0.505 0.384 0.865
0.495 0.616 0.135
0.728 0.855 0.251
0.135 0.495 0.616
0.384 0.865 0.505
0.251 0.728 0.855
0.145 0.749 0.272
0.000 0.000 0.000
```

Computed properties:
calculated volume: 35.29 Å³/atom
DOS at the Fermi energy: 1.960 states/eV/atom

=====

Run 2
The following is a GGA-PBE calculation of a relaxed structure of Pr7Sm12Tm, from Alexandria.

The structure in POSCAR format:
```
Pr7Sm12Tm
1.0
9.444 0.000 -3.339
-4.722 8.179 -3.339
0.000 0.000 10.017
Pr Sm Tm
7 12 1
Direct
0.500 0.500 0.000
0.000 0.500 0.500
0.500 0.000 0.500
0.500 0.500 0.500
0.000 0.000 0.500
0.500 0.000 0.000
0.000 0.500 0.000
0.510 0.755 0.755
0.001 0.755 0.245
0.490 0.245 0.245
0.999 0.245 0.755
0.755 0.999 0.245
0.755 0.510 0.755
0.245 0.001 0.755
0.245 0.490 0.245
0.755 0.755 0.510
0.245 0.245 0.490
0.755 0.245 0.001
0.245 0.755 0.999
0.000 0.000 0.000
```

Computed properties:
calculated volume: 38.69 Å³/atom
DOS at the Fermi energy: 1.433 states/eV/atom

=====

run 1 is favored, and the nearest alternative lies 0.382 eV/atom above it.